Entry from OQMD: a geometry-optimized SmDyCuSe3 structure (PBE-GGA).

The space group is P2_1/m (No. 11) and the conventional cell measures 7.950, 3.932 and 9.297 Å, with angles of 90.00, 102.33 and 90.00 degrees. Symmetry generates all atoms from Sm at (0.200, 0.250, 0.272), Dy at (0.321, 0.750, 0.837), Cu at (0.078, 0.250, 0.582), Se at (0.068, 0.250, 0.846), Se at (0.255, 0.750, 0.522) and Se at (0.416, 0.750, 0.156).

Its energy above the most stable polymorph in this dataset is 0.0 meV per atom. The total energy is -63.95 eV/cell.


Entry from OQMD: a geometry-optimized DyCuSnTeSe2 structure (PBE-GGA).

The space group is Cmcm (No. 63) and the conventional cell measures 4.082, 13.790 and 11.069 Å, with angles of 90.00, 90.00 and 90.00 degrees. Symmetry generates all atoms from Dy at (0.000, 0.000, 0.000), Cu at (0.000, 0.469, 0.250), Sn at (0.000, 0.214, 0.750), Te at (0.000, 0.095, 0.250) and Se at (0.000, 0.363, 0.069).

The total energy is -110.14 eV/cell.


Entry from OQMD: a geometry-optimized SrDyCuSe3 structure (PBE-GGA).

The space group is P2_1/m (No. 11) and the conventional cell measures 8.509, 4.082 and 9.118 Å, with angles of 90.00, 104.03 and 90.00 degrees. Symmetry generates all atoms from Sr at (0.190, 0.250, 0.244), Dy at (0.325, 0.750, 0.833), Cu at (0.081, 0.250, 0.585), Se at (0.099, 0.250, 0.862), Se at (0.225, 0.750, 0.515) and Se at (0.436, 0.750, 0.163).

The total energy is -59.48 eV/cell.


Entry from OQMD: a geometry-optimized SrDyCuSe3 structure (PBE-GGA).

The space group is C2/m (No. 12) and the conventional cell measures 18.200, 4.106 and 8.298 Å, with angles of 90.00, 102.88 and 90.00 degrees. Symmetry generates all atoms from Sr at (0.128, 0.000, 0.070), Dy at (0.163, 0.000, 0.584), Cu at (0.037, 0.500, 0.709), Se at (0.000, 0.000, 0.500), Se at (0.000, 0.500, 0.000), Se at (0.175, 0.500, 0.354) and Se at (0.175, 0.500, 0.825).

The total energy is -117.14 eV/cell.


Entry from OQMD: a geometry-optimized SrDyCuTeSe2 structure (PBE-GGA).

The space group is Cmcm (No. 63) and the conventional cell measures 4.117, 14.260 and 11.008 Å, with angles of 90.00, 90.00 and 90.00 degrees. Symmetry generates all atoms from Sr at (0.000, 0.223, 0.250), Dy at (0.000, 0.000, 0.000), Cu at (0.000, 0.476, 0.750), Te at (0.000, 0.093, 0.750) and Se at (0.000, 0.370, 0.572).

The total energy is -114.64 eV/cell.


Entry from OQMD: a geometry-optimized SrDyCuTe2Se structure (PBE-GGA).

The space group is Cmcm (No. 63) and the conventional cell measures 4.234, 14.531 and 10.745 Å, with angles of 90.00, 90.00 and 90.00 degrees. Symmetry generates all atoms from Sr at (0.000, 0.232, 0.250), Dy at (0.000, 0.500, 0.000), Cu at (0.000, 0.026, 0.750), Te at (0.000, 0.145, 0.564) and Se at (0.000, 0.429, 0.750).

The total energy is -110.64 eV/cell.